(1)
Os2PdSe4S2 after structural relaxation, computed with GGA-PBE.

a = 12.744 Å, b = 3.500 Å, c = 10.237 Å
α = 90.00°, β = 121.00°, γ = 90.00°
Space group C2/m (No. 12)
Symmetry-distinct sites (fractional):
Os (0.171, 0.000, 0.282)
Pd (0.000, 0.500, 0.000)
Se (0.018, 0.500, 0.254)
Se (0.170, 0.000, 0.545)
S (0.215, 0.500, 0.153)

## Properties
Crystal system = monoclinic
Calculated volume = 391.4 Å³/cell

=====

(2)
Sc2OsPd after structural relaxation, computed with GGA-PBE.

a = 4.566 Å, b = 4.566 Å, c = 3.291 Å
α = 90.00°, β = 90.00°, γ = 90.00°
Space group P4/mmm (No. 123)
Symmetry-distinct sites (fractional):
Sc (0.000, 0.500, 0.000)
Os (0.000, 0.000, 0.500)
Pd (0.500, 0.500, 0.500)

## Properties
Crystal system = tetragonal
Energy of formation = -0.686 eV per atom
Calculated volume = 68.6 Å³/cell
Relative energy among the computed polymorphs = 0.054 eV/atom

=====

(3)
Sc2OsPd after structural relaxation, computed with GGA-PBE.

a = 3.264 Å, b = 3.264 Å, c = 6.480 Å
α = 90.00°, β = 90.00°, γ = 90.00°
Space group P4/mmm (No. 123)
Symmetry-distinct sites (fractional):
Sc (0.000, 0.000, 0.237)
Os (0.500, 0.500, 0.000)
Pd (0.500, 0.500, 0.500)

## Properties
Crystal system = tetragonal
Energy of formation = -0.740 eV per atom
Calculated volume = 69.0 Å³/cell
Relative energy among the computed polymorphs = 0.000 eV/atom

=====

(4)
Sc2OsPd after structural relaxation, computed with GGA-PBE.

a = 4.600 Å, b = 4.600 Å, c = 6.482 Å
α = 90.00°, β = 90.00°, γ = 90.00°
Space group I4/mmm (No. 139)
Symmetry-distinct sites (fractional):
Sc (0.000, 0.500, 0.250)
Os (0.000, 0.000, 0.000)
Pd (0.000, 0.000, 0.500)

## Properties
Crystal system = tetragonal
Energy of formation = -0.696 eV per atom
Calculated volume = 137.2 Å³/cell
Relative energy among the computed polymorphs = 0.044 eV/atom

=====

(5)
ScOs2Pd after structural relaxation, computed with GGA-PBE.

a = 6.314 Å, b = 6.314 Å, c = 6.314 Å
α = 90.00°, β = 90.00°, γ = 90.00°
Space group F-43m (No. 216)
Symmetry-distinct sites (fractional):
Sc (0.000, 0.000, 0.000)
Os (0.000, 0.000, 0.500)
Os (0.250, 0.250, 0.750)
Pd (0.250, 0.250, 0.250)

## Properties
Crystal system = cubic
Energy of formation = 0.020 eV per atom
Calculated volume = 251.7 Å³/cell

=====

(6)
Sc2OsPd after structural relaxation, computed with GGA-PBE.

a = 4.598 Å, b = 4.598 Å, c = 6.486 Å
α = 90.00°, β = 90.00°, γ = 90.00°
Space group I4/mmm (No. 139)
Symmetry-distinct sites (fractional):
Sc (0.000, 0.500, 0.250)
Os (0.000, 0.000, 0.000)
Pd (0.000, 0.000, 0.500)

## Properties
Crystal system = tetragonal
Energy of formation = -0.696 eV per atom
Calculated volume = 137.1 Å³/cell
Relative energy among the computed polymorphs = 0.044 eV/atom

=====

Number 1: energy -5.54 eV per atom. Number 2: energy -7.95 eV per atom. Number 3: energy -8.00 eV per atom. Number 4: energy -7.96 eV per atom. Number 5: energy -8.47 eV per atom. Number 6: energy -7.96 eV per atom.